# 1
# HoTh2PtRh5 | Alexandria via LeMat-Bulk | GGA-PBE | optimized geometry
# VASP energy: -7.3257 eV per atom
# Fermi-level density of states: 7.401 states/eV/f.u.
# Formation enthalpy at 0 K: -0.413 eV/atom
# M_tot: 0.0 Bohr magnetons per cell
data_HoTh2PtRh5
_chemical_formula_sum 'Ho4 Th8 Pt4 Rh20'
_cell_length_a 8.4279
_cell_length_b 8.4279
_cell_length_c 10.6588
_cell_angle_alpha 90.00
_cell_angle_beta 90.00
_cell_angle_gamma 90.00
_space_group_name_H-M_alt 'I 4/m c m'
_space_group_IT_number 140
_space_group_name_Hall '-I 4 2c'
loop_
_atom_site_label
_atom_site_fract_x
_atom_site_fract_y
_atom_site_fract_z
Ho1 0.0000 0.0000 0.2500
Th1 0.1386 0.3614 0.0000
Pt1 0.0000 0.5000 0.2500
Rh1 0.0000 0.0000 0.0000
Rh2 0.1888 0.3112 0.3646

---

# 2
# HoTiPtRh | Alexandria via LeMat-Bulk | GGA-PBE | optimized geometry
# VASP energy: -7.2565 eV per atom
# Fermi-level density of states: 5.343 states/eV/f.u.
# Formation enthalpy at 0 K: -0.790 eV/atom
# M_tot: 0.0 Bohr magnetons per cell
data_HoTiPtRh
_chemical_formula_sum 'Ho4 Ti4 Pt4 Rh4'
_cell_length_a 6.5986
_cell_length_b 6.5986
_cell_length_c 6.5986
_cell_angle_alpha 90.00
_cell_angle_beta 90.00
_cell_angle_gamma 90.00
_space_group_name_H-M_alt 'F -4 3 m'
_space_group_IT_number 216
_space_group_name_Hall 'F -4 2 3'
loop_
_atom_site_label
_atom_site_fract_x
_atom_site_fract_y
_atom_site_fract_z
Ho1 0.0000 0.0000 0.0000
Ti1 0.0000 0.0000 0.5000
Pt1 0.2500 0.2500 0.7500
Rh1 0.2500 0.2500 0.2500

---

# 3
# HoTlPtRh | Alexandria via LeMat-Bulk | GGA-PBE | optimized geometry
# VASP energy: -5.6882 eV per atom
# Fermi-level density of states: 2.958 states/eV/f.u.
# Formation enthalpy at 0 K: -0.604 eV/atom
# M_tot: 0.0 Bohr magnetons per cell
data_HoTlPtRh
_chemical_formula_sum 'Ho4 Tl4 Pt4 Rh4'
_cell_length_a 6.7625
_cell_length_b 6.7625
_cell_length_c 6.7625
_cell_angle_alpha 90.00
_cell_angle_beta 90.00
_cell_angle_gamma 90.00
_space_group_name_H-M_alt 'F -4 3 m'
_space_group_IT_number 216
_space_group_name_Hall 'F -4 2 3'
loop_
_atom_site_label
_atom_site_fract_x
_atom_site_fract_y
_atom_site_fract_z
Ho1 0.0000 0.0000 0.0000
Tl1 0.0000 0.0000 0.5000
Pt1 0.2500 0.2500 0.7500
Rh1 0.2500 0.2500 0.2500